Computed, not measured: crystalline VGaHgO2 at its relaxed geometry at the GGA+U level of DFT.

Cell and atoms, written as POSCAR:
```
VGaHgO2
1.0
3.767 0.000 0.000
0.000 5.741 0.000
0.000 0.000 3.767
O Ga V Hg
2 1 1 1
Direct
0.500 0.000 0.000
0.000 0.000 0.500
0.000 0.500 0.000
0.000 0.000 0.000
0.500 0.500 0.500
```

- DOS at the Fermi energy (states/eV/f.u.) = 1.16
- energy (eV/cell) = -24.299
- SG = P4/mmm (123)
- total magnetic moment (μB/cell) = 0.1